[1]
Material: MgAlAs2Br
Method: DFT, GGA-PBE
State: optimized geometry

Results
- Distance to the lowest polymorph of the same formula: 256 meV per atom
- Space group: P4/mmm, No. 123
- M_tot: 0.52 μB per formula unit
- ΔE_f (raw): 0.408 eV/atom
- DOS(E_F): 4.22 states/eV/cell

Unit cell a=5.059 b=5.059 c=5.279 alpha=90.00 beta=90.00 gamma=90.00
Last column: magnetic moment on the atom in μB.
Element x y z (fractional)
Mg1 0.000 0.000 0.000  0.00
As1 0.000 0.500 0.000  0.10
As2 0.500 0.000 0.000  0.10
Al1 0.500 0.500 0.500  0.01
Br1 0.000 0.000 0.500  0.05

[2]
Material: TlSiPdF6
Method: DFT, GGA-PBE
State: optimized geometry

Results
- Space group: P1, No. 1
- M_tot: 1.00 μB per formula unit
- ΔE_f (raw): -2.261 eV/atom
- DOS(E_F): 0.29 states/eV/cell

Unit cell a=5.881 b=5.935 c=5.334 alpha=88.92 beta=88.40 gamma=57.30
Last column: magnetic moment on the atom in μB.
Element x y z (fractional)
Tl1 0.994 0.009 0.006  0.00
Si1 0.332 0.335 0.500  0.00
Pd1 0.616 0.684 0.500  0.84
F1 0.090 0.314 0.353  0.01
F2 0.346 0.132 0.738  0.01
F3 0.591 0.349 0.645  0.03
F4 0.095 0.614 0.656  0.00
F5 0.349 0.518 0.258  0.01
F6 0.587 0.044 0.343  0.04

[3]
Material: Cs2CdSBr6
Method: DFT, GGA-PBE
State: optimized geometry

Results
- Space group: I4/mmm, No. 139
- M_tot: 0.00 μB per formula unit
- ΔE_f (raw): -0.919 eV/atom
- DOS(E_F): 0.00 states/eV/cell

Unit cell a=7.824 b=7.824 c=8.184 alpha=61.45 beta=61.45 gamma=90.00
Element x y z (fractional)
Cs1 0.750 0.250 0.500
Cs2 0.250 0.750 0.500
S1 0.500 0.500 0.000
Br1 0.211 0.211 0.577
Br2 0.789 0.789 0.423
Br3 0.272 0.272 0.000
Br4 0.728 0.728 0.000
Br5 0.728 0.272 0.000
Br6 0.272 0.728 0.000
Cd1 0.000 0.000 0.000

[4]
Material: PaCoH
Method: DFT, GGA-PBE
State: optimized geometry

Results
- Distance to the lowest polymorph of the same formula: 196 meV per atom
- Space group: P-6m2, No. 187
- M_tot: 0.00 μB per formula unit
- DOS(E_F): 2.10 states/eV/cell

Unit cell a=3.600 b=3.550 c=3.550 alpha=120.00 beta=90.00 gamma=90.00
Element x y z (fractional)
H1 0.833 0.333 0.667
Pa1 0.334 0.667 0.333
Co1 0.834 0.000 0.000

[5]
Material: YTc2Pb
Method: DFT, GGA-PBE
State: optimized geometry

Results
- Space group: P2/m, No. 10
- M_tot: 0.00 μB per formula unit
- ΔE_f: 326.9 meV per atom
- DOS(E_F): 3.52 states/eV/cell

Unit cell a=4.725 b=3.254 c=5.698 alpha=84.22 beta=90.00 gamma=90.00
Element x y z (fractional)
Pb1 0.500 0.750 0.750
Tc1 0.000 0.816 0.051
Tc2 0.000 0.684 0.449
Y1 0.500 0.250 0.250

[6]
Material: ZnCd2Cl
Method: DFT, GGA-PBE
State: optimized geometry

Results
- Distance to the lowest polymorph of the same formula: 125 meV per atom
- Space group: C2/m, No. 12
- M_tot: 0.00 μB per formula unit
- ΔE_f (raw): -0.122 eV/atom
- DOS(E_F): 1.01 states/eV/cell

Unit cell a=5.192 b=5.876 c=3.986 alpha=71.33 beta=78.30 gamma=116.29
Element x y z (fractional)
Cd1 0.000 0.000 0.000
Cd2 0.000 0.500 0.500
Cl1 0.500 0.500 0.000
Zn1 0.500 0.000 0.500

[7]
Material: HfGePS2
Method: DFT, GGA-PBE
State: optimized geometry

Results
- Distance to the lowest polymorph of the same formula: 0 meV per atom
- Space group: P4/mmm, No. 123
- M_tot: 0.00 μB per formula unit
- ΔE_f (raw): -0.121 eV/atom
- DOS(E_F): 2.32 states/eV/cell

Unit cell a=4.877 b=4.877 c=5.084 alpha=90.00 beta=90.00 gamma=90.00
Element x y z (fractional)
P1 0.000 0.000 0.500
Ge1 0.500 0.500 0.500
Hf1 0.000 0.000 0.000
S1 0.000 0.500 0.000
S2 0.500 0.000 0.000

[8]
Material: Co2AgTe
Method: DFT, GGA-PBE
State: optimized geometry

Results
- Space group: P2/m, No. 10
- M_tot: 2.78 μB per formula unit
- ΔE_f (raw): 0.489 eV/atom
- DOS(E_F): 6.15 states/eV/cell

Unit cell a=3.967 b=3.103 c=5.505 alpha=90.27 beta=90.00 gamma=90.00
Last column: magnetic moment on the atom in μB.
Element x y z (fractional)
Ag1 0.500 0.750 0.750  0.00
Co1 0.000 0.252 0.964  1.42
Co2 0.000 0.248 0.536  1.42
Te1 0.500 0.250 0.250  -0.01

[9]
Material: Ac3Tb8Dy
Method: DFT, GGA-PBE
State: optimized geometry

Results
- Space group: Immm, No. 71
- M_tot: 0.00 μB per formula unit
- ΔE_f: 246.9 meV per atom
- DOS(E_F): 16.05 states/eV/cell

Unit cell a=8.910 b=8.909 c=8.910 alpha=99.01 beta=96.50 gamma=136.92
Element x y z (fractional)
Ac1 0.500 0.745 0.245
Ac2 0.500 0.255 0.755
Ac3 0.000 0.500 0.500
Tb1 0.492 0.254 0.238
Tb2 0.508 0.746 0.762
Tb3 0.984 0.746 0.238
Tb4 0.016 0.254 0.762
Tb5 0.175 0.248 0.423
Tb6 0.825 0.248 0.073
Tb7 0.175 0.752 0.927
Tb8 0.825 0.752 0.577
Dy1 0.000 0.000 0.000

[10]
Material: Al2IrRu
Method: DFT, GGA-PBE
State: optimized geometry

Results
- Space group: Cmm2, No. 35
- M_tot: 0.00 μB per formula unit
- ΔE_f: -35.1 meV per atom
- DOS(E_F): 3.29 states/eV/cell

Unit cell a=2.771 b=2.771 c=8.741 alpha=90.00 beta=90.00 gamma=117.62
Element x y z (fractional)
Ru1 0.500 0.500 0.759
Ir1 0.000 0.000 0.492
Al1 0.000 0.000 0.989
Al2 0.500 0.500 0.260

[11]
Material: DyTiSe
Method: DFT, GGA-PBE
State: optimized geometry

Results
- Space group: Immm, No. 71
- M_tot: 0.14 μB per formula unit
- ΔE_f (raw): -0.750 eV/atom
- DOS(E_F): 5.13 states/eV/cell

Unit cell a=4.660 b=3.619 c=8.420 alpha=102.41 beta=106.06 gamma=90.00
Last column: magnetic moment on the atom in μB.
Element x y z (fractional)
Dy1 0.664 0.164 0.328  0.00
Dy2 0.336 0.836 0.672  0.00
Ti1 0.743 0.500 0.000  0.13
Ti2 0.257 0.500 0.000  0.13
Se1 0.155 0.655 0.310  0.00
Se2 0.845 0.345 0.690  0.00

[12]
Material: Mn2Ni9Mo
Method: DFT, GGA-PBE
State: optimized geometry

Results
- Space group: P4/mmm, No. 123
- M_tot: 9.68 μB per formula unit
- ΔE_f: -84.8 meV per atom
- DOS(E_F): 12.36 states/eV/cell

Unit cell a=3.593 b=3.593 c=10.789 alpha=90.00 beta=90.00 gamma=90.00
Last column: magnetic moment on the atom in μB.
Element x y z (fractional)
Mn1 0.000 0.000 0.338  3.42
Mn2 0.000 0.000 0.662  3.42
Ni1 0.500 0.500 0.000  0.03
Ni2 0.500 0.500 0.333  0.43
Ni3 0.500 0.500 0.667  0.43
Ni4 0.500 0.000 0.167  0.19
Ni5 0.500 0.000 0.500  0.52
Ni6 0.500 0.000 0.833  0.19
Ni7 0.000 0.500 0.167  0.19
Ni8 0.000 0.500 0.500  0.52
Ni9 0.000 0.500 0.833  0.19
Mo1 0.000 0.000 0.000  0.13

Number 1: E_tot -2.854 eV per atom, ρ 3.5 g cm⁻³. Number 2: E_tot -4.951 eV per atom, ρ 4.8 g cm⁻³. Number 3: E_tot -2.598 eV per atom, ρ 4.0 g cm⁻³. Number 4: E_tot -6.767 eV per atom, ρ 12.3 g cm⁻³. Number 5: E_tot -7.399 eV per atom, ρ 9.4 g cm⁻³. Number 6: E_tot -1.359 eV per atom, ρ 5.7 g cm⁻³. Number 7: E_tot -5.769 eV per atom, ρ 4.8 g cm⁻³. Number 8: E_tot -4.562 eV per atom, ρ 8.7 g cm⁻³. Number 9: E_tot -4.251 eV per atom, ρ 7.8 g cm⁻³. Number 10: E_tot -6.441 eV per atom, ρ 9.7 g cm⁻³. Number 11: E_tot -6.078 eV per atom, ρ 7.2 g cm⁻³. Number 12: E_tot -6.852 eV per atom, ρ 8.8 g cm⁻³.